# 1
This record from Alexandria describes a relaxed structure of PaTaAs2. The functional is PBE.

Cell: 3.6714 3.6714 13.0410 Å, 90.00 90.00 90.00°
Space group I-4m2 (No. 119)
Inequivalent atoms, fractional coordinates:
Pa 0.0000 0.0000 0.0000
Ta 0.0000 0.5000 0.7500
As 0.0000 0.0000 0.3827

Results
energy above the lowest structure with this stoichiometry = 204.0 meV/atom
DFT formation energy = -37 kJ per mole of atoms
magnetization = 0.000 μB/cell



# 2
This record from Alexandria describes a relaxed structure of Cs2ZnAsI. The functional is PBE.

Cell: 7.2419 7.2419 4.6011 Å, 90.00 90.00 90.00°
Space group P4/mmm (No. 123)
Inequivalent atoms, fractional coordinates:
Cs 0.0000 0.5000 0.0000
Zn 0.0000 0.0000 0.5000
As 0.0000 0.0000 0.0000
I 0.5000 0.5000 0.5000

Results
formation energy (no corrections) = -0.64 eV/atom
magnetization = 0.000 μB/cell



# 3
This record from Alexandria describes a relaxed structure of ZnCr. The functional is PBE.

Cell: 7.7114 7.7114 7.7114 Å, 90.00 90.00 90.00°
Space group I-43m (No. 217)
Inequivalent atoms, fractional coordinates:
Zn 0.2085 0.2085 0.7915
Cr 0.1009 0.1009 0.1009

Results
DFT formation energy = 127 kJ per mole of atoms
magnetization = 5.810 μB/cell



# 4
This record from Alexandria describes a relaxed structure of UV2Pt. The functional is PBE.

Cell: 3.2512 3.2512 6.0164 Å, 90.00 90.00 90.00°
Space group P4/mmm (No. 123)
Inequivalent atoms, fractional coordinates:
U 0.0000 0.0000 0.0000
V 0.5000 0.5000 0.2365
Pt 0.0000 0.0000 0.5000

Results
energy above the lowest structure with this stoichiometry = 124.7 meV/atom
DFT formation energy = -1 kJ per mole of atoms
magnetization = 0.989 μB/cell